1.
BiW6Cl15, optimized geometry, DFT GGA-PBE; energy relative to the elements, uncorrected = -0.774 eV/atom
1.0
12.862 0.000 0.000
0.000 14.188 -0.116
0.000 7.541 13.885
Cl W Bi
60 24 4
Cartesian
8.675 14.148 5.684 Cl
0.600 16.081 7.345 Cl
10.249 14.576 10.862 Cl
12.232 12.780 6.222 Cl
3.752 15.356 13.477 Cl
7.550 5.968 8.094 Cl
1.260 16.333 10.948 Cl
9.110 6.373 0.292 Cl
3.874 7.557 12.006 Cl
1.103 13.169 9.305 Cl
3.818 10.923 9.850 Cl
8.609 7.336 3.425 Cl
11.602 5.397 2.821 Cl
2.679 11.586 6.534 Cl
10.618 17.918 12.626 Cl
9.155 4.372 5.439 Cl
5.171 12.562 4.006 Cl
5.312 15.761 5.675 Cl
12.317 12.273 1.851 Cl
11.538 15.840 4.264 Cl
12.243 12.646 13.129 Cl
7.691 9.167 9.763 Cl
2.128 14.477 4.583 Cl
2.244 3.811 1.143 Cl
6.976 16.043 8.793 Cl
7.534 12.331 11.407 Cl
4.187 7.581 8.085 Cl
7.050 8.875 6.187 Cl
10.734 7.252 9.186 Cl
1.324 5.889 9.505 Cl
2.724 13.587 1.388 Cl
0.619 9.083 0.640 Cl
8.559 3.482 2.243 Cl
5.886 5.686 4.976 Cl
0.545 9.456 11.918 Cl
3.707 17.358 8.330 Cl
2.178 10.623 3.402 Cl
5.801 5.179 0.605 Cl
10.183 10.143 7.235 Cl
4.253 14.393 10.344 Cl
7.031 9.418 13.367 Cl
5.831 12.311 0.402 Cl
10.305 17.943 8.706 Cl
2.613 7.153 2.907 Cl
10.684 11.106 10.367 Cl
7.061 16.550 13.164 Cl
2.557 3.786 5.063 Cl
9.044 10.806 3.919 Cl
7.755 19.610 11.207 Cl
8.988 14.172 1.763 Cl
0.630 8.949 7.547 Cl
5.812 12.854 7.582 Cl
5.328 9.398 2.362 Cl
11.759 8.561 4.465 Cl
1.119 19.531 12.618 Cl
4.303 18.247 11.526 Cl
5.107 2.119 2.562 Cl
10.138 8.142 12.381 Cl
11.743 2.198 1.151 Cl
12.262 5.648 6.424 Cl
4.881 10.027 -0.030 W
10.447 4.325 0.818 W
3.469 12.923 8.484 W
9.931 5.746 7.356 W
4.043 11.522 1.968 W
2.931 15.983 6.413 W
2.415 17.405 12.952 W
7.981 11.702 13.799 W
10.474 6.436 4.859 W
9.900 12.576 12.227 W
1.550 13.798 6.913 W
9.393 8.806 5.285 W
2.962 9.153 1.542 W
8.014 6.596 5.747 W
2.388 15.293 8.910 W
11.279 10.366 12.690 W
8.846 8.095 7.760 W
1.583 11.363 1.079 W
4.848 15.133 8.022 W
3.500 19.753 13.356 W
11.312 7.931 6.856 W
9.362 1.976 0.414 W
4.016 13.634 6.009 W
8.819 10.207 11.801 W
2.366 8.171 9.667 Bi
10.497 13.558 4.102 Bi
8.797 17.328 11.045 Bi
4.065 4.401 2.724 Bi

2.
Cs2KNpI8, optimized geometry, DFT GGA-PBE; energy relative to the elements, uncorrected = -1.062 eV/atom
1.0
8.030 -0.936 -0.781
-1.478 7.705 1.026
-0.887 1.107 10.630
I Cs K Np
8 2 1 1
Cartesian
2.660 6.155 5.749 I
2.927 7.151 9.947 I
6.305 4.900 2.601 I
3.005 1.721 5.125 I
-1.230 6.694 9.866 I
-0.640 2.976 8.273 I
6.894 1.182 1.008 I
2.738 0.725 0.928 I
2.077 4.431 2.403 Cs
3.588 3.445 8.472 Cs
-0.444 0.554 5.315 K
0.000 0.000 0.000 Np

3.
Cs2CuI6N, optimized geometry, DFT GGA-PBE; energy relative to the elements, uncorrected = -0.177 eV/atom
1.0
7.837 0.000 0.000
0.000 7.837 0.000
3.918 3.918 5.525
I Cs Cu N
6 2 1 1
Cartesian
2.011 2.011 0.000 I
3.918 3.918 2.697 I
5.826 2.011 0.000 I
5.826 5.826 0.000 I
7.837 7.837 2.829 I
2.011 5.826 0.000 I
7.837 3.918 2.763 Cs
3.918 7.837 2.763 Cs
0.000 0.000 0.000 Cu
3.918 3.918 0.000 N

4.
MnSiSb2Te, optimized geometry, DFT GGA-PBE; energy relative to the lowest polymorph listed for this composition = 0.569 eV per atom; energy relative to the elements, uncorrected = 1.285 eV/atom
1.0
5.150 0.000 0.000
0.000 5.150 0.000
0.000 0.000 5.161
Si Sb Te Mn
1 2 1 1
Cartesian
0.000 0.000 0.000 Si
0.000 2.575 0.000 Sb
2.575 0.000 0.000 Sb
0.000 0.000 2.581 Te
2.575 2.575 2.581 Mn

5.
RuRhC3, optimized geometry, DFT GGA-PBE; energy relative to the lowest polymorph listed for this composition = 0.000 eV per atom; formation energy = 2.159 eV/atom
1.0
3.931 0.000 0.000
0.000 3.931 0.000
0.000 0.000 3.931
C Rh Ru
3 1 1
Cartesian
0.000 1.966 0.000 C
0.000 0.000 1.966 C
1.966 0.000 0.000 C
1.966 1.966 1.966 Rh
0.000 0.000 0.000 Ru

6.
ZnInC2, optimized geometry, DFT GGA-PBE; energy relative to the lowest polymorph listed for this composition = 0.000 eV per atom; formation energy = 1.555 eV/atom
1.0
-0.938 -0.245 -4.232
-3.636 -2.182 0.932
-5.321 4.001 -1.279
Zn C In
2 4 2
Cartesian
-5.622 0.303 -0.998 Zn
-2.287 -1.213 -1.650 Zn
-2.320 0.588 -2.619 C
-3.771 -0.407 -0.495 C
-5.903 1.973 -2.146 C
-7.796 0.995 -3.896 C
-4.273 1.271 -3.580 In
0.000 0.000 0.000 In

| no. | total energy (eV per atom) | DOS(E_F) (states/eV per cell) | theoretical density (g cm⁻³) |
| --- | --- | --- | --- |
| 1 | -5.74 | 0.0 | 4.8 |
| 2 | -3.41 | 11.2 | 4.1 |
| 3 | -2.52 | 5.1 | 5.4 |
| 4 | -3.91 | 4.2 | 5.5 |
| 5 | -6.70 | 3.7 | 6.6 |
| 6 | -4.06 | 3.7 | 6.0 |